Entry 1:
# Tb3Zr2UN6

A geometry-optimized Tb3Zr2UN6 structure (PBE, the Alexandria database).

Cell: 5.866 5.866 5.901 Å, 99.42 99.42 120.08°
Atoms (fractional coordinates):
Tb (0.000, 0.000, 0.000)
Tb (0.331, 0.669, 0.000)
Tb (0.669, 0.331, 0.000)
Zr (0.167, 0.833, 0.500)
Zr (0.833, 0.167, 0.500)
U (0.500, 0.500, 0.500)
N (0.097, 0.424, 0.271)
N (0.250, 0.250, 0.725)
N (0.424, 0.097, 0.271)
N (0.576, 0.903, 0.729)
N (0.750, 0.750, 0.275)
N (0.903, 0.576, 0.729)

Values from the calculation:
spin magnetization: 0.0 μB per formula unit
DOS at the Fermi energy: 0.3663 states/eV per atom
energy: -9.36 eV per atom
formation energy (no corrections): -1.669 eV/atom


Entry 2:
# Tb2ZrUN4

A geometry-optimized Tb2ZrUN4 structure (PBE, the Alexandria database).

Cell: 5.873 3.410 5.923 Å, 90.00 108.97 90.00°
Atoms (fractional coordinates):
Tb (0.000, 0.000, 0.000)
Tb (0.500, 0.500, 0.000)
Zr (0.000, 0.500, 0.500)
U (0.500, 0.000, 0.500)
N (0.248, 0.000, 0.725)
N (0.257, 0.500, 0.271)
N (0.743, 0.500, 0.729)
N (0.752, 0.000, 0.275)

Values from the calculation:
spin magnetization: 0.4 μB per formula unit
DOS at the Fermi energy: 0.5703 states/eV per atom
energy: -9.42 eV per atom
formation energy (no corrections): -1.618 eV/atom


Entry 3:
# Tb3Zr3UN8

A geometry-optimized Tb3Zr3UN8 structure (PBE, the Alexandria database).

Cell: 6.807 6.807 6.807 Å, 58.84 58.84 58.84°
Atoms (fractional coordinates):
Tb (0.000, 0.500, 0.500)
Tb (0.500, 0.000, 0.500)
Tb (0.500, 0.500, 0.000)
Zr (0.000, 0.000, 0.500)
Zr (0.000, 0.500, 0.000)
Zr (0.500, 0.000, 0.000)
U (0.500, 0.500, 0.500)
N (0.244, 0.244, 0.244)
N (0.252, 0.731, 0.731)
N (0.269, 0.269, 0.748)
N (0.269, 0.748, 0.269)
N (0.731, 0.252, 0.731)
N (0.731, 0.731, 0.252)
N (0.748, 0.269, 0.269)
N (0.756, 0.756, 0.756)

Values from the calculation:
spin magnetization: 0.0 μB per formula unit
DOS at the Fermi energy: 0.2568 states/eV per atom
energy: -9.38 eV per atom
formation energy (no corrections): -1.549 eV/atom